w.
Computed, not measured: crystalline Tb4PrDy7 at its relaxed geometry at the PBE level of DFT.

Output
Total magnetization, μB/f.u.: 0.0
Calculated volume, A^3/atom: 32.03
Symmetry: P-1, No. 2

a b c (Å): 7.1841 6.2191 11.3992
angles (deg): 79.51 50.94 90.00
Positions (direct):
Tb: 0.4140 0.7211 0.3354
Tb: 0.5860 0.2789 0.6646
Tb: 0.8332 0.7789 0.6663
Tb: 0.1668 0.2211 0.3337
Pr: 0.0000 0.0000 0.0000
Dy: 0.7493 0.4997 0.0001
Dy: 0.2507 0.5003 0.9999
Dy: 0.0838 0.2789 0.6649
Dy: 0.9162 0.7211 0.3351
Dy: 0.3338 0.7777 0.6657
Dy: 0.5000 0.0000 0.0000
Dy: 0.6662 0.2223 0.3343


x.
Computed, not measured: crystalline Tb4PrDy7 at its relaxed geometry at the PBE level of DFT.

Output
Total magnetization, μB/f.u.: 0.0
Calculated volume, A^3/atom: 33.12
Symmetry: C2/m, No. 12

a b c (Å): 5.8948 11.5428 6.7224
angles (deg): 83.06 64.00 75.21
Positions (direct):
Tb: 0.6330 0.2248 0.5092
Tb: 0.3670 0.7752 0.4908
Tb: 0.7534 0.6812 0.8120
Tb: 0.2466 0.3188 0.1880
Pr: 0.0000 0.0000 0.0000
Dy: 0.7893 0.9220 0.4993
Dy: 0.2107 0.0780 0.5007
Dy: 0.0603 0.6710 0.2084
Dy: 0.9397 0.3290 0.7916
Dy: 0.3670 0.5023 0.7638
Dy: 0.5000 0.0000 0.0000
Dy: 0.6330 0.4977 0.2362


Stability summary: most stable w, least stable x.


w.
Computed, not measured: crystalline Tb2Pr4Dy at its relaxed geometry at the PBE level of DFT.

Output
Total magnetization, μB/f.u.: 0.0
Calculated volume, A^3/atom: 34.29
Symmetry: P2_1/m, No. 11

a b c (Å): 6.2520 6.7279 11.7779
angles (deg): 90.00 104.32 90.00
Positions (direct):
Tb: 0.6045 0.7500 0.9954
Tb: 0.3955 0.2500 0.0046
Tb: 0.2870 0.2500 0.4246
Tb: 0.7130 0.7500 0.5754
Pr: 0.6451 0.5100 0.2846
Pr: 0.0351 0.7500 0.8633
Pr: 0.9649 0.2500 0.1367
Pr: 0.6451 0.9900 0.2846
Pr: 0.8479 0.2500 0.5506
Pr: 0.3549 0.0100 0.7154
Pr: 0.3549 0.4900 0.7154
Pr: 0.1521 0.7500 0.4494
Dy: 0.1471 0.7500 0.1611
Dy: 0.8529 0.2500 0.8389


x.
Computed, not measured: crystalline Tb2Pr4Dy at its relaxed geometry at the PBE level of DFT.

Output
Total magnetization, μB/f.u.: 0.0
Calculated volume, A^3/atom: 34.59
Symmetry: Cc, No. 9

a b c (Å): 12.6738 12.6738 6.8820
angles (deg): 97.00 97.00 150.17
Positions (direct):
Tb: 0.6249 0.3062 0.4521
Tb: 0.9223 0.1037 0.0475
Tb: 0.1037 0.9223 0.5475
Tb: 0.3062 0.6249 0.9521
Pr: 0.7137 0.1762 0.8665
Pr: 0.1762 0.7137 0.3665
Pr: 0.1854 0.7949 0.8986
Pr: 0.7949 0.1854 0.3986
Pr: 0.0381 0.1473 0.6017
Pr: 0.5604 0.5981 0.1351
Pr: 0.5981 0.5604 0.6351
Pr: 0.1473 0.0381 0.1017
Dy: 0.4200 0.6700 0.4999
Dy: 0.6700 0.4200 0.9999


Stability summary: most stable x, least stable w.


w.
Computed, not measured: crystalline TbPr12Dy6 at its relaxed geometry at the PBE level of DFT.

Output
Total magnetization, μB/f.u.: 0.0
Calculated volume, A^3/atom: 35.88
Symmetry: R-3, No. 148

a b c (Å): 9.3247 9.3247 9.3247
angles (deg): 106.64 106.64 106.64
Positions (direct):
Tb: 0.0000 0.0000 0.0000
Pr: 0.4841 0.1926 0.5819
Pr: 0.1926 0.5819 0.4841
Pr: 0.5819 0.4841 0.1926
Pr: 0.5159 0.8074 0.4181
Pr: 0.8074 0.4181 0.5159
Pr: 0.4181 0.5159 0.8074
Pr: 0.2784 0.1305 0.8260
Pr: 0.1740 0.7216 0.8695
Pr: 0.8695 0.1740 0.7216
Pr: 0.7216 0.8695 0.1740
Pr: 0.8260 0.2784 0.1305
Pr: 0.1305 0.8260 0.2784
Dy: 0.0783 0.1910 0.4539
Dy: 0.8090 0.5461 0.9217
Dy: 0.5461 0.9217 0.8090
Dy: 0.9217 0.8090 0.5461
Dy: 0.1910 0.4539 0.0783
Dy: 0.4539 0.0783 0.1910


x.
Computed, not measured: crystalline TbPr12Dy6 at its relaxed geometry at the PBE level of DFT.

Output
Total magnetization, μB/f.u.: 0.0
Calculated volume, A^3/atom: 35.17
Symmetry: R-3, No. 148

a b c (Å): 8.7439 8.7439 8.7439
angles (deg): 88.91 88.91 88.91
Positions (direct):
Tb: 0.0000 0.0000 0.0000
Pr: 0.7820 0.5360 0.4329
Pr: 0.4329 0.7820 0.5360
Pr: 0.5360 0.4329 0.7820
Pr: 0.2180 0.4640 0.5671
Pr: 0.5671 0.2180 0.4640
Pr: 0.4640 0.5671 0.2180
Pr: 0.0181 0.1936 0.3630
Pr: 0.8064 0.6370 0.9819
Pr: 0.6370 0.9819 0.8064
Pr: 0.9819 0.8064 0.6370
Pr: 0.1936 0.3630 0.0181
Pr: 0.3630 0.0181 0.1936
Dy: 0.7414 0.9010 0.2961
Dy: 0.7039 0.2586 0.0990
Dy: 0.0990 0.7039 0.2586
Dy: 0.2586 0.0990 0.7039
Dy: 0.2961 0.7414 0.9010
Dy: 0.9010 0.2961 0.7414


Stability summary: most stable x, least stable w.


w.
Computed, not measured: crystalline Tb4Pr7Dy at its relaxed geometry at the PBE level of DFT.

Output
Total magnetization, μB/f.u.: 0.0
Calculated volume, A^3/atom: 34.54
Symmetry: P-1, No. 2

a b c (Å): 7.3493 9.7330 9.0846
angles (deg): 81.14 89.95 41.00
Positions (direct):
Tb: 0.5295 0.7226 0.3317
Tb: 0.4705 0.2774 0.6683
Tb: 0.7199 0.7803 0.6652
Tb: 0.2801 0.2197 0.3348
Pr: 0.7516 0.5003 0.0018
Pr: 0.2484 0.4997 0.9982
Pr: 0.9707 0.2803 0.6657
Pr: 0.0293 0.7197 0.3343
Pr: 0.2212 0.7788 0.6662
Pr: 0.5000 0.0000 0.0000
Pr: 0.7788 0.2212 0.3338
Dy: 0.0000 0.0000 0.0000


x.
Computed, not measured: crystalline Tb4Pr7Dy at its relaxed geometry at the PBE level of DFT.

Output
Total magnetization, μB/f.u.: 0.0
Calculated volume, A^3/atom: 35.12
Symmetry: C2/m, No. 12

a b c (Å): 6.0625 9.8756 8.7093
angles (deg): 61.00 69.63 72.12
Positions (direct):
Tb: 0.5713 0.3030 0.5543
Tb: 0.4287 0.6970 0.4457
Tb: 0.6716 0.6124 0.0443
Tb: 0.3284 0.3876 0.9557
Pr: 0.7904 0.8804 0.5388
Pr: 0.2096 0.1196 0.4612
Pr: 0.0840 0.5558 0.2762
Pr: 0.9160 0.4442 0.7238
Pr: 0.2099 0.7685 0.8118
Pr: 0.5000 0.0000 0.0000
Pr: 0.7901 0.2315 0.1882
Dy: 0.0000 0.0000 0.0000


Stability summary: most stable w, least stable x.


w.
Computed, not measured: crystalline Tb2PrDy6 at its relaxed geometry at the PBE level of DFT.

Output
Total magnetization, μB/f.u.: 0.0
Calculated volume, A^3/atom: 33.20
Symmetry: C2/m, No. 12

a b c (Å): 3.4492 6.0152 17.3646
angles (deg): 116.21 84.30 73.34
Positions (direct):
Tb: 0.8330 0.5000 0.8340
Tb: 0.1670 0.5000 0.1660
Pr: 0.5000 0.5000 0.5000
Dy: 0.4357 0.1907 0.9380
Dy: 0.5643 0.8093 0.0620
Dy: 0.7735 0.1856 0.2673
Dy: 0.1013 0.1919 0.6055
Dy: 0.2265 0.8144 0.7327
Dy: 0.8987 0.8081 0.3945


x.
Computed, not measured: crystalline Tb2PrDy6 at its relaxed geometry at the PBE level of DFT.

Output
Total magnetization, μB/f.u.: 0.0
Calculated volume, A^3/atom: 33.30
Symmetry: R3m, No. 160

a b c (Å): 7.3712 7.3712 7.6597
angles (deg): 61.24 61.24 60.00
Positions (direct):
Tb: 0.7554 0.7554 0.7337
Tb: 0.5798 0.5798 0.2607
Pr: 0.3169 0.3169 0.0492
Dy: 0.7829 0.2603 0.6963
Dy: 0.2605 0.7829 0.6963
Dy: 0.2603 0.2605 0.6963
Dy: 0.0476 0.6144 0.2901
Dy: 0.0478 0.0476 0.2901
Dy: 0.6144 0.0478 0.2901


Stability summary: most stable w, least stable x.


w.
Computed, not measured: crystalline Tb2Pr2Dy5 at its relaxed geometry at the PBE level of DFT.

Output
Total magnetization, μB/f.u.: 0.0
Calculated volume, A^3/atom: 33.31
Symmetry: Ima2, No. 46

a b c (Å): 11.8582 6.7548 10.1292
angles (deg): 109.48 125.83 90.00
Positions (direct):
Tb: 0.0000 0.0170 0.0000
Tb: 0.5000 0.5170 0.0000
Tb: 0.2602 0.3552 0.5000
Tb: 0.7398 0.8552 0.5000
Pr: 0.1256 0.6857 0.2533
Pr: 0.8744 0.4324 0.7467
Pr: 0.6277 0.1857 0.2533
Pr: 0.3723 0.9324 0.7467
Dy: 0.2017 0.6541 0.8946
Dy: 0.7983 0.7595 0.1054
Dy: 0.1929 0.1541 0.8946
Dy: 0.8071 0.2595 0.1054
Dy: 0.3774 0.0290 0.2861
Dy: 0.6226 0.7430 0.7139
Dy: 0.4086 0.5290 0.2861
Dy: 0.5914 0.2430 0.7139
Dy: 0.0060 0.6601 0.5000
Dy: 0.9940 0.1601 0.5000


x.
Computed, not measured: crystalline Tb2Pr2Dy5 at its relaxed geometry at the PBE level of DFT.

Output
Total magnetization, μB/f.u.: 0.0
Calculated volume, A^3/atom: 34.42
Symmetry: C2/m, No. 12

a b c (Å): 3.4988 8.2566 12.6069
angles (deg): 120.48 97.98 90.00
Positions (direct):
Tb: 0.5470 0.7378 0.0940
Tb: 0.4530 0.2622 0.9060
Pr: 0.8182 0.7805 0.6365
Pr: 0.1818 0.2195 0.3635
Dy: 0.6904 0.8502 0.3808
Dy: 0.3096 0.1498 0.6192
Dy: 0.9041 0.5423 0.8082
Dy: 0.0959 0.4577 0.1918
Dy: 0.0000 0.0000 0.0000


Stability summary: most stable w, least stable x.


w.
Computed, not measured: crystalline Tb2Pr5Dy2 at its relaxed geometry at the PBE level of DFT.

Output
Total magnetization, μB/f.u.: 0.0
Calculated volume, A^3/atom: 34.23
Symmetry: P-1, No. 2

a b c (Å): 8.1466 9.6373 9.6337
angles (deg): 129.94 53.84 147.67
Positions (direct):
Tb: 0.4446 0.8915 0.7825
Tb: 0.5554 0.1085 0.2175
Pr: 0.3348 0.6663 0.3323
Pr: 0.6652 0.3337 0.6677
Pr: 0.1134 0.2229 0.4456
Pr: 0.8866 0.7771 0.5544
Pr: 0.0000 0.0000 0.0000
Dy: 0.2174 0.4461 0.8913
Dy: 0.7826 0.5539 0.1087


x.
Computed, not measured: crystalline Tb2Pr5Dy2 at its relaxed geometry at the PBE level of DFT.

Output
Total magnetization, μB/f.u.: 0.0
Calculated volume, A^3/atom: 34.60
Symmetry: Ima2, No. 46

a b c (Å): 12.9800 6.2813 10.5047
angles (deg): 107.40 128.16 90.00
Positions (direct):
Tb: 0.1849 0.5836 0.2702
Tb: 0.8151 0.3135 0.7298
Tb: 0.5853 0.0836 0.2702
Tb: 0.4147 0.8135 0.7298
Pr: 0.2511 0.7444 0.9014
Pr: 0.7489 0.8430 0.0986
Pr: 0.1504 0.2444 0.9014
Pr: 0.8496 0.3430 0.0986
Pr: 0.3278 0.0966 0.2876
Pr: 0.6722 0.8090 0.7124
Pr: 0.4598 0.5966 0.2876
Pr: 0.5402 0.3090 0.7124
Pr: 0.0746 0.7924 0.5000
Pr: 0.9254 0.2924 0.5000
Dy: 0.0000 0.8857 0.0000
Dy: 0.5000 0.3857 0.0000
Dy: 0.1933 0.2678 0.5000
Dy: 0.8067 0.7678 0.5000


Stability summary: most stable w, least stable x.


w.
Computed, not measured: crystalline TbPr2Dy6 at its relaxed geometry at the PBE level of DFT.

Output
Total magnetization, μB/f.u.: 0.0
Calculated volume, A^3/atom: 32.91
Symmetry: C2/c, No. 15

a b c (Å): 6.6140 9.6321 9.6321
angles (deg): 96.09 80.77 80.77
Positions (direct):
Tb: 0.2500 0.1176 0.8824
Tb: 0.7500 0.8824 0.1176
Pr: 0.1256 0.6179 0.6702
Pr: 0.3744 0.3298 0.3821
Pr: 0.8744 0.3821 0.3298
Pr: 0.6256 0.6702 0.6179
Dy: 0.5034 0.6537 0.2764
Dy: 0.9966 0.7236 0.3463
Dy: 0.4966 0.3463 0.7236
Dy: 0.0034 0.2764 0.6537
Dy: 0.7305 0.0576 0.4619
Dy: 0.7695 0.5381 0.9424
Dy: 0.2695 0.9424 0.5381
Dy: 0.2305 0.4619 0.0576
Dy: 0.3163 0.7785 0.9589
Dy: 0.1837 0.0411 0.2215
Dy: 0.6837 0.2215 0.0411
Dy: 0.8163 0.9589 0.7785


x.
Computed, not measured: crystalline TbPr2Dy6 at its relaxed geometry at the PBE level of DFT.

Output
Total magnetization, μB/f.u.: 0.0
Calculated volume, A^3/atom: 32.87
Symmetry: C2/c, No. 15

a b c (Å): 6.4652 10.1952 10.1952
angles (deg): 87.83 70.07 70.07
Positions (direct):
Tb: 0.2500 0.1332 0.8668
Tb: 0.7500 0.8668 0.1332
Pr: 0.1658 0.6100 0.6875
Pr: 0.3342 0.3125 0.3900
Pr: 0.8342 0.3900 0.3125
Pr: 0.6658 0.6875 0.6100
Dy: 0.4092 0.7419 0.3701
Dy: 0.0908 0.6299 0.2581
Dy: 0.5908 0.2581 0.6299
Dy: 0.9092 0.3701 0.7419
Dy: 0.7906 0.9637 0.4442
Dy: 0.7094 0.5558 0.0363
Dy: 0.2094 0.0363 0.5558
Dy: 0.2906 0.4442 0.9637
Dy: 0.3031 0.8034 0.9452
Dy: 0.1969 0.0548 0.1966
Dy: 0.6969 0.1966 0.0548
Dy: 0.8031 0.9452 0.8034


Stability summary: most stable w, least stable x.


w.
Computed, not measured: crystalline TbPr7Dy4 at its relaxed geometry at the PBE level of DFT.

Output
Total magnetization, μB/f.u.: 0.0
Calculated volume, A^3/atom: 34.41
Symmetry: P-1, No. 2

a b c (Å): 7.3398 9.7247 9.0676
angles (deg): 81.15 89.95 41.00
Positions (direct):
Tb: 0.0000 0.0000 0.0000
Pr: 0.7524 0.5002 0.0020
Pr: 0.2476 0.4998 0.9980
Pr: 0.9702 0.2806 0.6650
Pr: 0.0298 0.7194 0.3350
Pr: 0.2209 0.7786 0.6659
Pr: 0.5000 0.0000 0.0000
Pr: 0.7791 0.2214 0.3341
Dy: 0.5306 0.7226 0.3323
Dy: 0.4694 0.2774 0.6677
Dy: 0.7189 0.7809 0.6649
Dy: 0.2811 0.2191 0.3351


x.
Computed, not measured: crystalline TbPr7Dy4 at its relaxed geometry at the PBE level of DFT.

Output
Total magnetization, μB/f.u.: 0.0
Calculated volume, A^3/atom: 34.98
Symmetry: C2/m, No. 12

a b c (Å): 6.0573 9.8454 8.6932
angles (deg): 61.23 69.61 72.08
Positions (direct):
Tb: 0.0000 0.0000 0.0000
Pr: 0.7895 0.8822 0.5388
Pr: 0.2105 0.1178 0.4612
Pr: 0.0848 0.5536 0.2769
Pr: 0.9152 0.4464 0.7231
Pr: 0.2111 0.7654 0.8123
Pr: 0.5000 0.0000 0.0000
Pr: 0.7889 0.2346 0.1877
Dy: 0.5708 0.3027 0.5556
Dy: 0.4292 0.6973 0.4444
Dy: 0.6709 0.6147 0.0436
Dy: 0.3291 0.3853 0.9564


Stability summary: most stable w, least stable x.